First-principles (SCAN) data for a crystal of TaAlW2 relaxed with PBEsol, as listed in the Alexandria database.

```
TaAlW2
1.0
2.7276 0.0000 0.0000
0.0000 4.4988 0.0000
-0.8796 0.0000 5.1913
Ta Al W
1 1 2
Direct
0.0000 0.0000 0.0000
0.5000 0.0000 0.5000
0.2444 0.5000 0.7491
0.7556 0.5000 0.2509
```

- crystal system = monoclinic
- calculated density (g/cm3) = 15.0
- Fermi-level density of states (states/eV/cell) = 1.66
- M_tot (μB/atom) = 0.0000
- ΔH_f (0 K) (kJ per mole of atoms) = -4.3
- calculated total energy (eV per atom) = -53.472

---

First-principles (SCAN) data for a crystal of TaAlW2 relaxed with PBEsol, as listed in the Alexandria database.

```
TaAlW2
1.0
2.7373 0.0000 0.0000
0.0000 4.4928 0.0000
-0.9677 0.0000 5.1902
Ta Al W
1 1 2
Direct
0.0000 0.0000 0.0000
0.3115 0.5000 0.7530
0.5107 0.0000 0.4937
0.7417 0.5000 0.2639
```

- crystal system = monoclinic
- calculated density (g/cm3) = 15.0
- Fermi-level density of states (states/eV/cell) = 1.42
- M_tot (μB/atom) = 0.0000
- ΔH_f (0 K) (kJ per mole of atoms) = -5.6
- calculated total energy (eV per atom) = -53.486

---

First-principles (SCAN) data for a crystal of YTa2Al relaxed with PBEsol, as listed in the Alexandria database.

```
YTa2Al
1.0
-1.9455 2.1581 4.6482
1.9455 -2.1581 4.6482
1.9455 2.1581 -4.6482
Y Ta Al
1 2 1
Direct
0.0000 0.0000 0.0000
0.2579 0.7579 0.5000
0.7421 0.2421 0.5000
0.5000 0.5000 0.0000
```

- crystal system = orthorhombic
- calculated density (g/cm3) = 10.2
- Fermi-level density of states (states/eV/cell) = 2.45
- M_tot (μB/atom) = 0.0000
- ΔH_f (0 K) (kJ per mole of atoms) = 15.9
- calculated total energy (eV per atom) = -42.026

---

First-principles (SCAN) data for a crystal of YTa2Al relaxed with PBEsol, as listed in the Alexandria database.

```
YTa2Al
1.0
4.7961 -1.4872 0.0000
4.7961 1.4872 0.0000
-0.7009 0.0000 5.5647
Y Ta Al
1 2 1
Direct
0.0000 0.0000 0.0000
0.5168 0.5168 0.5089
0.7729 0.7729 0.3047
0.2503 0.2503 0.7321
```

- crystal system = monoclinic
- calculated density (g/cm3) = 10.0
- Fermi-level density of states (states/eV/cell) = 2.85
- M_tot (μB/atom) = 0.0000
- ΔH_f (0 K) (kJ per mole of atoms) = 17.4
- calculated total energy (eV per atom) = -42.010

---

First-principles (SCAN) data for a crystal of YTaAl3 relaxed with PBEsol, as listed in the Alexandria database.

```
YTaAl3
1.0
4.9750 0.0000 0.0000
0.0000 4.9750 0.0000
0.0000 0.0000 4.9750
Y Ta Al
1 1 3
Direct
0.0000 0.0000 0.0000
0.5000 0.5000 0.5000
0.0000 0.0000 0.5000
0.0000 0.5000 0.0000
0.5000 0.0000 0.0000
```

- crystal system = cubic
- calculated density (g/cm3) = 4.7
- Fermi-level density of states (states/eV/cell) = 6.37
- M_tot (μB/atom) = 0.2165
- ΔH_f (0 K) (kJ per mole of atoms) = 186.0
- calculated total energy (eV per atom) = -21.609

---

First-principles (SCAN) data for a crystal of YTaAl4 relaxed with PBEsol, as listed in the Alexandria database.

```
YTaAl4
1.0
0.0000 3.7387 3.7387
3.7387 0.0000 3.7387
3.7387 3.7387 0.0000
Y Ta Al
1 1 4
Direct
0.0000 0.0000 0.0000
0.7500 0.7500 0.7500
0.3756 0.3756 0.3756
0.3756 0.3756 0.8731
0.3756 0.8731 0.3756
0.8731 0.3756 0.3756
```

- crystal system = cubic
- calculated density (g/cm3) = 6.0
- Fermi-level density of states (states/eV/cell) = 1.41
- M_tot (μB/atom) = 0.0055
- ΔH_f (0 K) (kJ per mole of atoms) = -31.1
- calculated total energy (eV per atom) = -21.228